Record 1
## MnSbRh3 (PBE)

Data for a relaxed MnSbRh3 crystal.

Unit cell a=4.7654 b=4.7654 c=4.7654 alpha=90.00 beta=90.00 gamma=90.00
Sites, in units of the cell vectors:
Mn 0.0000 0.0000 0.0000
Sb 0.5000 0.5000 0.5000
Rh 0.0000 0.5000 0.5000
Rh 0.5000 0.0000 0.5000
Rh 0.5000 0.5000 0.0000

Summary:
**SG**: Pm-3m, No. 221
**Polymorph energy (0 for the lowest one)**: 0.783 eV/atom

***

Record 2
## MnSb3Rh (PBE)

Data for a relaxed MnSb3Rh crystal.

Unit cell a=5.1004 b=5.1004 c=5.1004 alpha=90.00 beta=90.00 gamma=90.00
Sites, in units of the cell vectors:
Mn 0.0000 0.0000 0.0000
Sb 0.0000 0.5000 0.5000
Sb 0.5000 0.0000 0.5000
Sb 0.5000 0.5000 0.0000
Rh 0.5000 0.5000 0.5000

Summary:
**SG**: Pm-3m, No. 221
**Polymorph energy (0 for the lowest one)**: 0.405 eV/atom

***

Record 3
## MnSbRhSe2 (PBE)

Data for a relaxed MnSbRhSe2 crystal.

Unit cell a=4.8867 b=4.8867 c=4.8189 alpha=90.00 beta=90.00 gamma=90.00
Sites, in units of the cell vectors:
Mn 0.0000 0.0000 0.0000
Sb 0.5000 0.5000 0.0000
Rh 0.0000 0.0000 0.5000
Se 0.0000 0.5000 0.5000
Se 0.5000 0.0000 0.5000

Summary:
**SG**: P4/mmm, No. 123

***

Record 4
## Sm2MnSb3Rh4 (PBE)

Data for a relaxed Sm2MnSb3Rh4 crystal.

Unit cell a=4.3091 b=4.3091 c=11.0537 alpha=90.00 beta=90.00 gamma=90.00
Sites, in units of the cell vectors:
Sm 0.0000 0.5000 0.2433
Sm 0.5000 0.0000 0.7567
Mn 0.5000 0.5000 0.0000
Sb 0.0000 0.0000 0.0000
Sb 0.0000 0.5000 0.6368
Sb 0.5000 0.0000 0.3632
Rh 0.0000 0.0000 0.5000
Rh 0.0000 0.5000 0.8671
Rh 0.5000 0.0000 0.1329
Rh 0.5000 0.5000 0.5000

Summary:
**SG**: P-4m2, No. 115

***

no.,raw formation energy (eV per atom),DOS at the Fermi energy (states/eV/cell)
1,1.505,15.161
2,1.029,6.480
3,0.379,3.842
4,-0.718,6.216